Tl3CuSe3 | PBE | relaxed

a b c (Å): 7.812 13.496 9.483
angles (deg): 90.00 127.00 90.00
Positions (direct):
Tl: 0.185 0.129 0.138
Tl: 0.185 0.371 0.638
Tl: 0.188 0.077 0.731
Tl: 0.188 0.423 0.231
Tl: 0.277 0.714 0.311
Tl: 0.277 0.786 0.811
Tl: 0.723 0.214 0.189
Tl: 0.723 0.286 0.689
Tl: 0.812 0.577 0.769
Tl: 0.812 0.923 0.269
Tl: 0.815 0.629 0.362
Tl: 0.815 0.871 0.862
Cu: 0.497 0.076 0.602
Cu: 0.497 0.424 0.102
Cu: 0.503 0.576 0.898
Cu: 0.503 0.924 0.398
Se: 0.233 0.214 0.456
Se: 0.233 0.286 0.956
Se: 0.273 0.572 0.577
Se: 0.273 0.928 0.077
Se: 0.344 0.590 0.055
Se: 0.344 0.910 0.555
Se: 0.656 0.090 0.445
Se: 0.656 0.410 0.945
Se: 0.727 0.072 0.923
Se: 0.727 0.428 0.423
Se: 0.767 0.714 0.044
Se: 0.767 0.786 0.544

Energy relative to the elements, uncorrected in eV per atom: -0.249
Magnetization in μB per cell: 0.00
Space group: No. 14

Sc2TaNb3N6 | PBE | relaxed

a b c (Å): 5.425 5.425 5.490
angles (deg): 99.50 99.50 120.02
Positions (direct):
Sc: 0.166 0.834 0.000
Sc: 0.834 0.166 0.000
Ta: 0.500 0.500 0.000
Nb: 0.000 0.000 0.500
Nb: 0.329 0.671 0.500
Nb: 0.671 0.329 0.500
N: 0.093 0.421 0.762
N: 0.255 0.255 0.245
N: 0.421 0.093 0.762
N: 0.579 0.907 0.238
N: 0.745 0.745 0.755
N: 0.907 0.579 0.238

Energy relative to the elements, uncorrected in eV per atom: -1.326
Magnetization in μB per cell: 0.00
Space group: No. 12

CsInGaAu | PBE | relaxed

a b c (Å): 4.672 4.672 21.203
angles (deg): 90.00 90.00 120.00
Positions (direct):
Cs: 0.000 0.000 0.000
Cs: 0.333 0.667 0.667
Cs: 0.667 0.333 0.333
In: 0.000 0.000 0.194
In: 0.333 0.667 0.861
In: 0.667 0.333 0.527
Ga: 0.000 0.000 0.468
Ga: 0.333 0.667 0.135
Ga: 0.667 0.333 0.801
Au: 0.000 0.000 0.808
Au: 0.333 0.667 0.475
Au: 0.667 0.333 0.141

Magnetization in μB per cell: 0.00
E_form in eV/atom: -0.21
Space group: No. 160

ScCr2 | PBE | relaxed

a b c (Å): 9.823 2.960 6.764
angles (deg): 90.00 113.69 90.00
Positions (direct):
Sc: 0.161 0.000 0.102
Sc: 0.339 0.500 0.898
Sc: 0.661 0.500 0.102
Sc: 0.839 0.000 0.898
Cr: 0.007 0.500 0.302
Cr: 0.155 0.000 0.549
Cr: 0.345 0.500 0.451
Cr: 0.493 0.000 0.698
Cr: 0.507 0.000 0.302
Cr: 0.655 0.500 0.549
Cr: 0.845 0.000 0.451
Cr: 0.993 0.500 0.698

Magnetization in μB per cell: 0.22
E_form in eV/atom: 0.28
Space group: No. 12

NaSc2AgTe4 | PBE | relaxed

a b c (Å): 7.338 7.338 15.346
angles (deg): 90.00 90.00 146.77
Positions (direct):
Na: 0.143 0.857 0.750
Na: 0.857 0.143 0.250
Sc: 0.373 0.627 0.576
Sc: 0.373 0.627 0.924
Sc: 0.627 0.373 0.076
Sc: 0.627 0.373 0.424
Ag: 0.158 0.842 0.250
Ag: 0.842 0.158 0.750
Te: 0.000 0.000 0.000
Te: 0.000 0.000 0.500
Te: 0.270 0.730 0.102
Te: 0.270 0.730 0.398
Te: 0.469 0.531 0.750
Te: 0.531 0.469 0.250
Te: 0.730 0.270 0.602
Te: 0.730 0.270 0.898

Energy relative to the elements, uncorrected in eV per atom: -0.932
Magnetization in μB per cell: 0.00
Space group: No. 63

HfCF3 | PBE | relaxed

a b c (Å): 3.968 3.968 3.968
angles (deg): 90.00 90.00 90.00
Positions (direct):
Hf: 0.000 0.000 0.000
C: 0.500 0.500 0.500
F: 0.000 0.500 0.500
F: 0.500 0.000 0.500
F: 0.500 0.500 0.000

Energy relative to the elements, uncorrected in eV per atom: 0.236
Magnetization in μB per cell: 0.00
Space group: No. 221

- Which formula does entry 4 have?
  ScCr2